DFT (GGA+U) results for crystalline CaMoBrO2 at its relaxed geometry.

Summary:
- DOS(E_F): 1.5 states/eV/f.u.
- Raw total energy: -3.499 eV/atom
- Symmetry: P4/mmm (123)

Lattice parameters (Å, degrees): 4.621 5.029 4.621 90.00 90.00 90.00
Element x y z (fractional)
Ca 0.000 0.500 0.000
Mo 0.500 0.500 0.500
O 0.000 0.000 0.500
O 0.500 0.000 0.000
Br 0.000 0.000 0.000